[1]
A plane-wave DFT calculation with PBEsol was carried out for a geometry-optimized MoAsOs2 structure.

a = 3.9584 Å, b = 2.8013 Å, c = 10.4210 Å
α = 90.00°, β = 90.00°, γ = 90.00°
Closest atoms and distances in Å follow each position.
Space group Amm2 (No. 38)
Unique sites:
1 Mo 0.0000 0.0000 0.0000 x2  4 As 2.65, 7 Os 2.68-2.89, 2 Mo 2.80
2 As 0.5000 0.0000 0.3963 x2  3 Os 2.45-2.47, 4 Mo 2.65
3 Os 0.0000 0.0000 0.2574 x2  2 As 2.45, 1 Mo 2.68
4 Os 0.5000 0.0000 0.6333 x2  1 As 2.47, 4 Os 2.75

Results
Formation energy from the elements = 143 meV per atom
Spin magnetization = 0.00 Bohr magnetons per cell


[2]
A plane-wave DFT calculation with PBEsol was carried out for a geometry-optimized KMnRe structure.

a = 6.0065 Å, b = 6.0065 Å, c = 6.0065 Å
α = 90.00°, β = 90.00°, γ = 90.00°
Closest atoms and distances in Å follow each position.
Space group F-43m (No. 216)
Unique sites:
1 K 0.0000 0.0000 0.0000 x4  4 Mn 2.60
2 Mn 0.2500 0.2500 0.7500 x4  4 K 2.60, 4 Re 2.60
3 Re 0.0000 0.0000 0.5000 x4  4 Mn 2.60

Results
Formation energy from the elements = 2177 meV per atom
Spin magnetization = 0.04 Bohr magnetons per cell
Polymorph energy (0 for the lowest one) = 1116 meV/atom


[3]
A plane-wave DFT calculation with PBEsol was carried out for a geometry-optimized KRb2TlCl6 structure.

a = 10.9392 Å, b = 10.9392 Å, c = 10.9392 Å
α = 90.00°, β = 90.00°, γ = 90.00°
Closest atoms and distances in Å follow each position.
Space group Fm-3m (No. 225)
Unique sites:
1 K 0.0000 0.0000 0.0000 x4  6 Cl 2.90
2 Rb 0.2500 0.2500 0.2500 x8  12 Cl 3.87
3 Tl 0.0000 0.0000 0.5000 x4  6 Cl 2.57
4 Cl 0.0000 0.0000 0.2651 x24  1 Tl 2.57

Results
Spin magnetization = 0.52 Bohr magnetons per cell
Energy relative to the elements, uncorrected = -1431.7 meV per atom


[4]
A plane-wave DFT calculation with PBEsol was carried out for a geometry-optimized DyP2Pd2 structure.

a = 4.0338 Å, b = 4.0338 Å, c = 9.7917 Å
α = 90.00°, β = 90.00°, γ = 90.00°
Closest atoms and distances in Å follow each position.
Space group I4/mmm (No. 139)
Unique sites:
1 Dy 0.0000 0.0000 0.0000 x2  8 P 3.05, 8 Pd 3.17
2 P 0.0000 0.0000 0.3887 x4  1 P 2.18, 4 Pd 2.43
3 Pd 0.0000 0.5000 0.2500 x4  4 P 2.43

Results
Formation energy from the elements = -1011 meV per atom
Spin magnetization = 0.00 Bohr magnetons per cell


[5]
A plane-wave DFT calculation with PBEsol was carried out for a geometry-optimized Mn5Ni8Sn3 structure.

a = 4.1614 Å, b = 4.1614 Å, c = 41.1855 Å
α = 90.00°, β = 90.00°, γ = 120.00°
Closest atoms and distances in Å follow each position.
Space group R-3m (No. 166, hexagonal axes)
Unique sites:
1 Mn 0.0000 0.0000 0.0000 x3  8 Ni 2.44-2.52
2 Mn 0.0000 0.0000 0.1244 x6  8 Ni 2.54-2.68
3 Mn 0.0000 0.0000 0.3735 x6  8 Ni 2.42-2.64
4 Ni 0.0000 0.0000 0.0593 x6  5 Mn 2.44-2.68, 3 Sn 2.58
5 Ni 0.0000 0.0000 0.1883 x6  4 Mn 2.55-2.63, 4 Sn 2.56-2.59
6 Ni 0.0000 0.0000 0.3147 x6  7 Mn 2.42-2.56, 1 Sn 2.62
7 Ni 0.0000 0.0000 0.4377 x6  4 Mn 2.54-2.64, 4 Sn 2.57
8 Sn 0.0000 0.0000 0.2512 x6  8 Ni 2.57-2.62
9 Sn 0.0000 0.0000 0.5000 x3  8 Ni 2.56-2.57

Results
Formation energy from the elements = -80 meV per atom
Spin magnetization = 60.87 Bohr magnetons per cell


[6]
A plane-wave DFT calculation with PBEsol was carried out for a geometry-optimized CsSmCdSe3 structure.

a = 4.2701 Å, b = 15.8176 Å, c = 11.1138 Å
α = 90.00°, β = 90.00°, γ = 90.00°
Closest atoms and distances in Å follow each position.
Space group Cmcm (No. 63)
Unique sites:
1 Cs 0.0000 0.2447 0.2500 x4  8 Se 3.58-3.84
2 Sm 0.0000 0.5000 0.0000 x4  6 Se 2.93-2.95
3 Cd 0.0000 0.0389 0.7500 x4  4 Se 2.60-2.68
4 Se 0.0000 0.1222 0.5488 x8  1 Cd 2.60
5 Se 0.0000 0.4368 0.7500 x4  2 Cd 2.68, 2 Sm 2.95

Results
Spin magnetization = 0.00 Bohr magnetons per cell
Energy relative to the elements, uncorrected = -1355.7 meV per atom


In eV per cell, the E values for the records above are, in order, -81.5 -70.8 -128.7 -67.1 -336.4 -107.7.